#i
Entry from the Alexandria database: a relaxed BaLa2Hg2 crystal (PBE).

Unit cell a=11.049 b=11.049 c=4.008 alpha=90.00 beta=90.00 gamma=159.05
Fractional positions:
Ba 0.000 0.000 0.000
La 0.183 0.817 0.000
La 0.817 0.183 0.000
Hg 0.394 0.606 0.500
Hg 0.606 0.394 0.500

Summary:
V ... 175 Å³/cell
Density of states at the Fermi level ... 1.12 states/eV per atom
Crystal system ... orthorhombic
Total magnetization ... 0.0 μB per cell

=====

#ii
Entry from the Alexandria database: a relaxed BaLa2Hg2 crystal (PBE).

Unit cell a=7.139 b=7.139 c=7.139 alpha=132.00 beta=132.00 gamma=70.23
Fractional positions:
Ba 0.000 0.000 0.000
La 0.350 0.350 0.000
La 0.650 0.650 0.000
Hg 0.250 0.750 0.500
Hg 0.750 0.250 0.500

Summary:
V ... 197 Å³/cell
Density of states at the Fermi level ... 0.87 states/eV per atom
Crystal system ... tetragonal
Total magnetization ... 0.1 μB per cell

=====

Which structure above is the least stable? It is #ii.